This record from Alexandria describes a geometry-optimized ZnMoOs2 structure. The functional is PBE.

Calculated values
- Energy of formation from the pure elements: 1.11 eV per formula unit
- Volume: 58.9 Å³ per cell

Structure (POSCAR):
```
ZnMoOs2
1.0
-3.264 -2.711 1.245
0.958 0.010 2.534
-2.657 3.884 1.493
Os Mo Zn
2 1 1
direct
0.000 0.470 0.485 Os
0.000 0.030 0.015 Os
0.500 0.750 0.750 Mo
0.500 0.250 0.250 Zn
```